Record 1
# SnHN2 | Alexandria | PBE | relaxed
data_SnHN2
_chemical_formula_sum 'Sn3 H3 N6'
_space_group_name_H-M_alt 'R -3 m'
_space_group_IT_number 166
_space_group_name_Hall '-R 3 2"'
_cell_length_a 3.1445
_cell_length_b 3.1445
_cell_length_c 15.9622
_cell_angle_alpha 90.00
_cell_angle_beta 90.00
_cell_angle_gamma 120.00
loop_
_atom_site_label
_atom_site_type_symbol
_atom_site_fract_x
_atom_site_fract_y
_atom_site_fract_z
Sn1 Sn 0.0000 0.0000 0.0000
H1 H 0.0000 0.0000 0.5000
N1 N 0.0000 0.0000 0.1514
# - excess energy over the best structure of this formula in the dataset (eV/atom) = 1.303

Record 2
DFT (PBE) results for a relaxed TcSnHN2 crystal.

The structure in CIF format:
```
data_TcSnHN2
_chemical_formula_sum 'Tc1 Sn1 H1 N2'
_space_group_name_H-M_alt 'P 4/m m m'
_space_group_IT_number 123
_space_group_name_Hall '-P 4 2'
_cell_length_a 4.0558
_cell_length_b 4.0558
_cell_length_c 3.1496
_cell_angle_alpha 90.00
_cell_angle_beta 90.00
_cell_angle_gamma 90.00
loop_
_atom_site_label
_atom_site_type_symbol
_atom_site_fract_x
_atom_site_fract_y
_atom_site_fract_z
Tc1 Tc 0.0000 0.0000 0.0000
Sn1 Sn 0.5000 0.5000 0.0000
H1 H 0.0000 0.0000 0.5000
N1 N 0.0000 0.5000 0.5000
```

Record 3
# SnTe2HN | Alexandria | PBE | relaxed
data_SnTe2HN
_chemical_formula_sum 'Sn1 Te2 H1 N1'
_space_group_name_H-M_alt 'P 4/m m m'
_space_group_IT_number 123
_space_group_name_Hall '-P 4 2'
_cell_length_a 4.3436
_cell_length_b 4.3436
_cell_length_c 5.5813
_cell_angle_alpha 90.00
_cell_angle_beta 90.00
_cell_angle_gamma 90.00
loop_
_atom_site_label
_atom_site_type_symbol
_atom_site_fract_x
_atom_site_fract_y
_atom_site_fract_z
Sn1 Sn 0.0000 0.0000 0.0000
Te1 Te 0.0000 0.5000 0.5000
H1 H 0.5000 0.5000 0.5000
N1 N 0.5000 0.5000 0.0000
# - excess energy over the best structure of this formula in the dataset (eV/atom) = 0.000

Uncorrected energy across the listed records, respectively: -4.22 -5.45 -3.23 eV per atom.